No. 1
This record from Alexandria describes a crystal of ScSb2Cl relaxed with PBEsol. The functional is SCAN.

Results
- Relative energy among the computed polymorphs: 0 meV/atom
- Symmetry: P4/mmm (123)

a b c (Å): 4.1137 4.1137 5.4914
angles (deg): 90.00 90.00 90.00
Element x y z (fractional)
1 Sc 0.0000 0.0000 0.0000
2 Sb 0.0000 0.5000 0.5000
3 Sb 0.5000 0.0000 0.5000
4 Cl 0.5000 0.5000 0.0000

=====

No. 2
This record from Alexandria describes a crystal of ScSbCl2 relaxed with PBEsol. The functional is SCAN.

Results
- Relative energy among the computed polymorphs: 680 meV/atom
- Symmetry: R-3m (166)

a b c (Å): 9.7522 9.7522 9.7522
angles (deg): 19.93 19.93 19.93
Element x y z (fractional)
1 Sc 0.0000 0.0000 0.0000
2 Sb 0.5000 0.5000 0.5000
3 Cl 0.0831 0.0831 0.0831
4 Cl 0.9169 0.9169 0.9169

=====

No. 3
This record from Alexandria describes a crystal of Sc2SbCl relaxed with PBEsol. The functional is SCAN.

Results
- Relative energy among the computed polymorphs: 0 meV/atom
- Symmetry: Imm2 (44)

a b c (Å): 6.8963 6.8963 6.8963
angles (deg): 150.99 147.82 43.87
Element x y z (fractional)
1 Sc 0.0000 0.0000 0.0000
2 Sc 0.7354 0.2354 0.5000
3 Sb 0.3358 0.8358 0.5000
4 Cl 0.5797 0.5797 0.0000

=====

No. 4
This record from Alexandria describes a crystal of ScSbCl2 relaxed with PBEsol. The functional is SCAN.

Results
- Relative energy among the computed polymorphs: 248 meV/atom
- Symmetry: I-42d (122)

a b c (Å): 6.5632 6.5632 6.5632
angles (deg): 101.65 101.65 126.58
Element x y z (fractional)
1 Sc 0.0000 0.0000 0.0000
2 Sc 0.7500 0.2500 0.5000
3 Sb 0.2500 0.7500 0.5000
4 Sb 0.5000 0.5000 0.0000
5 Cl 0.0151 0.6250 0.8901
6 Cl 0.3750 0.2651 0.3901
7 Cl 0.7349 0.1250 0.1099
8 Cl 0.8750 0.9849 0.6099

=====

No. 5
This record from Alexandria describes a crystal of ScSbTe2Cl relaxed with PBEsol. The functional is SCAN.

Results
- Symmetry: P4/mmm (123)

a b c (Å): 5.1770 5.1770 5.2657
angles (deg): 90.00 90.00 90.00
Element x y z (fractional)
1 Sc 0.0000 0.0000 0.0000
2 Sb 0.5000 0.5000 0.0000
3 Te 0.0000 0.5000 0.5000
4 Te 0.5000 0.0000 0.5000
5 Cl 0.5000 0.5000 0.5000

=====

No. 6
This record from Alexandria describes a crystal of Sb2SeCl relaxed with PBEsol. The functional is SCAN.

Results
- Relative energy among the computed polymorphs: 0 meV/atom
- Symmetry: P4mm (99)

a b c (Å): 3.7746 3.7746 7.0177
angles (deg): 90.00 90.00 90.00
Element x y z (fractional)
1 Sb 0.0000 0.0000 0.0000
2 Sb 0.5000 0.5000 0.2598
3 Se 0.0000 0.0000 0.4077
4 Cl 0.5000 0.5000 0.7385

=====

No. 7
This record from Alexandria describes a crystal of Sb2SeCl relaxed with PBEsol. The functional is SCAN.

Results
- Relative energy among the computed polymorphs: 183 meV/atom
- Symmetry: F-43m (216)

a b c (Å): 5.0322 5.0322 5.0322
angles (deg): 60.00 60.00 60.00
Element x y z (fractional)
1 Sb 0.0000 0.0000 0.0000
2 Sb 0.2500 0.2500 0.2500
3 Se 0.5000 0.5000 0.5000
4 Cl 0.7500 0.7500 0.7500

=====

No. 8
This record from Alexandria describes a crystal of Sb2SeCl relaxed with PBEsol. The functional is SCAN.

Results
- Relative energy among the computed polymorphs: 240 meV/atom
- Symmetry: Cmmm (65)

a b c (Å): 5.1066 5.1066 3.4939
angles (deg): 90.00 90.00 97.14
Element x y z (fractional)
1 Sb 0.0000 0.5000 0.0000
2 Sb 0.5000 0.0000 0.0000
3 Se 0.0000 0.0000 0.5000
4 Cl 0.5000 0.5000 0.5000

=====

Calculated volume per entry: 92.9, 94.3, 84.5, 202.8, 141.1, 100.0, 90.1, 90.4 Å³/cell
Formation energy (no corrections) per entry: -578, -627, -1022, -1059, 421, -50, 133, 190 meV/atom